AsPd7 | PBE | optimized geometry

## Properties
Total DFT energy (no corrections) ... -82.74 eV for the cell shown

Cell: 2.7715 3.8335 32.6105 Å, 90.00 90.00 90.00°
Last column: nearest neighbours and their distance in Å.
Element x y z (fractional)
Pd (0.5000, 0.5000, 0.0654)  12 Pd 2.76-2.84
Pd (0.0000, 0.0000, 0.8475)  12 Pd 2.76-2.87
Pd (0.5000, 0.5000, 0.8911)  12 Pd 2.76-2.84
Pd (0.0000, 0.0000, 0.1089)  12 Pd 2.76-2.84
Pd (0.5000, 0.5000, 0.9782)  12 Pd 2.76-2.84
Pd (0.5000, 0.5000, 0.8040)  12 Pd 2.76-2.96
Pd (0.0000, 0.0000, 0.9346)  12 Pd 2.76-2.84
Pd (0.0000, 0.0000, 0.1960)  12 Pd 2.76-2.96
Pd (0.0000, 0.0000, 0.0218)  12 Pd 2.76-2.84
Pd (0.5000, 0.5000, 0.2404)  1 As 2.55, 10 Pd 2.77-2.81
Pd (0.5000, 0.5000, 0.1525)  12 Pd 2.76-2.87
Pd (0.5000, 0.5000, 0.7133)  4 As 2.58, 6 Pd 2.77-2.81
Pd (0.0000, 0.0000, 0.2867)  4 As 2.58, 6 Pd 2.77-2.81
Pd (0.0000, 0.0000, 0.7596)  1 As 2.55, 10 Pd 2.77-2.81
As (0.5000, 0.5000, 0.3187)  5 Pd 2.55-2.58, 2 As 2.77
As (0.0000, 0.0000, 0.6813)  5 Pd 2.55-2.58, 2 As 2.77



As4Pd | PBE | optimized geometry

## Properties
Total DFT energy (no corrections) ... -98.40 eV for the cell shown

Cell: 5.3116 5.3116 14.7069 Å, 90.00 90.00 90.00°
Last column: nearest neighbours and their distance in Å.
Element x y z (fractional)
As (0.9703, 0.3368, 0.2872)  3 As 2.49-2.55, 1 Pd 2.66
As (0.5364, 0.6236, 0.6250)  2 As 2.49-2.50, 2 Pd 2.57-2.58
As (0.4636, 0.3764, 0.1250)  2 As 2.49-2.50, 2 Pd 2.57-2.58
As (0.3764, 0.4636, 0.8750)  2 As 2.49-2.50, 2 Pd 2.57-2.58
As (0.5297, 0.8368, 0.9628)  3 As 2.49-2.55, 1 Pd 2.66
As (0.0364, 0.8764, 0.1250)  2 As 2.49-2.50, 2 Pd 2.57-2.58
As (0.4703, 0.1632, 0.4628)  3 As 2.49-2.55, 1 Pd 2.66
As (0.9636, 0.1236, 0.6250)  2 As 2.49-2.50, 2 Pd 2.57-2.58
As (0.8764, 0.0364, 0.8750)  2 As 2.49-2.50, 2 Pd 2.57-2.58
As (0.0297, 0.6632, 0.7872)  3 As 2.49-2.55, 1 Pd 2.66
As (0.1236, 0.9636, 0.3750)  2 As 2.49-2.50, 2 Pd 2.57-2.58
As (0.8368, 0.5297, 0.0372)  3 As 2.49-2.55, 1 Pd 2.66
As (0.6632, 0.0297, 0.2128)  3 As 2.49-2.55, 1 Pd 2.66
As (0.6236, 0.5364, 0.3750)  2 As 2.49-2.50, 2 Pd 2.57-2.58
As (0.3368, 0.9703, 0.7128)  3 As 2.49-2.55, 1 Pd 2.66
As (0.1632, 0.4703, 0.5372)  3 As 2.49-2.55, 1 Pd 2.66
Pd (0.1840, 0.1840, 0.0000)  6 As 2.57-2.66
Pd (0.3160, 0.6840, 0.2500)  6 As 2.57-2.66
Pd (0.6840, 0.3160, 0.7500)  6 As 2.57-2.66
Pd (0.8160, 0.8160, 0.5000)  6 As 2.57-2.66